(w)
# V3CoO PBE+U relaxed
# **Mass density**: 4008 kg/m³
data_V3CoO
_chemical_formula_sum 'V3 Co1 O1'
_space_group_name_H-M_alt 'P m -3 m'
_space_group_IT_number 221
_space_group_name_Hall '-P 4 2 3'
_cell_length_a 4.553
_cell_length_b 4.553
_cell_length_c 4.553
_cell_angle_alpha 90.00
_cell_angle_beta 90.00
_cell_angle_gamma 90.00
loop_
_atom_site_label
_atom_site_type_symbol
_atom_site_fract_x
_atom_site_fract_y
_atom_site_fract_z
V1 V 0.000 0.000 0.500
Co1 Co 0.000 0.000 0.000
O1 O 0.500 0.500 0.500



(x)
# V3CoO PBE+U relaxed
# **Mass density**: 5317 kg/m³
data_V3CoO
_chemical_formula_sum 'V3 Co1 O1'
_space_group_name_H-M_alt 'P m -3 m'
_space_group_IT_number 221
_space_group_name_Hall '-P 4 2 3'
_cell_length_a 4.143
_cell_length_b 4.143
_cell_length_c 4.143
_cell_angle_alpha 90.00
_cell_angle_beta 90.00
_cell_angle_gamma 90.00
loop_
_atom_site_label
_atom_site_type_symbol
_atom_site_fract_x
_atom_site_fract_y
_atom_site_fract_z
V1 V 0.000 0.000 0.500
Co1 Co 0.500 0.500 0.500
O1 O 0.000 0.000 0.000



The least stable of the structures above is (w), whereas (x) is the most stable.